! HfNb2Ir (PBE-GGA, optimized geometry); values from VASP
&SYSTEM
  ibrav = 0, nat = 4, ntyp = 3
/
ATOMIC_SPECIES
Nb 92.91 Nb.upf
Hf 178.49 Hf.upf
Ir 192.22 Ir.upf
ATOMIC_POSITIONS angstrom
Nb 0.0000 0.0000 0.0000
Hf 4.9095 4.9095 4.9095
Ir 3.2730 3.2730 3.2730
Nb 1.6365 1.6365 1.6365
CELL_PARAMETERS angstrom
0.0000 3.2730 3.2730
3.2730 0.0000 3.2730
3.2730 3.2730 0.0000
! SG	No. 216
! formation enthalpy at 0 K	-412	meV per atom